Here is a geometry-optimized K2TiSi6O15 structure from the Alexandria database. Energies are from PBE.

a = 7.044 Å, b = 12.919 Å, c = 7.767 Å
α = 90.00°, β = 106.23°, γ = 90.00°
Space group P2_1 (No. 4)
Inequivalent atoms, fractional coordinates:
1 K 0.183 0.000 0.426
2 K 0.196 0.296 0.157
3 Ti 0.245 0.656 0.751
4 Si 0.008 0.728 0.331
5 Si 0.013 0.563 0.042
6 Si 0.307 0.900 0.931
7 Si 0.330 0.396 0.709
8 Si 0.446 0.740 0.443
9 Si 0.451 0.571 0.163
10 O 0.023 0.613 0.855
11 O 0.027 0.679 0.524
12 O 0.070 0.146 0.837
13 O 0.135 0.330 0.723
14 O 0.138 0.964 0.999
15 O 0.206 0.798 0.828
16 O 0.225 0.774 0.322
17 O 0.233 0.520 0.160
18 O 0.269 0.514 0.668
19 O 0.388 0.975 0.793
20 O 0.411 0.342 0.548
21 O 0.436 0.628 0.976
22 O 0.449 0.706 0.643
23 O 0.472 0.145 0.660
24 O 0.498 0.877 0.102

polymorph energy (0 for the lowest one)	0.000	eV/atom
electronic total energy	-7.631	eV/atom
formation energy without anion corrections	-2.756	eV/atom